1.
This record from Alexandria describes a relaxed structure of ZrNb4Ge2. The functional is GGA-PBE.

DFT total energy = -8.5931 eV/atom
space-group type = Cmmm (65)
energy relative to the elements = -299 meV per atom
M_tot = 0.00 μB per formula unit

a b c (Å): 4.2878 3.5496 8.7289
angles (deg): 101.73 90.00 90.00
With the nearest neighbours (Å) after each atom.
Positions (direct):
Nb1 0.5000 0.8181 0.6363  2 Ge 2.61, 4 Nb 2.79
Nb2 0.0000 0.6737 0.3475  2 Ge 2.78, 4 Nb 2.79
Nb3 0.5000 0.1819 0.3637  2 Ge 2.61, 4 Nb 2.79
Nb4 0.0000 0.3263 0.6525  2 Ge 2.78, 4 Nb 2.79
Ge1 0.5000 0.5699 0.1398  1 Ge 2.39, 2 Nb 2.61
Ge2 0.5000 0.4301 0.8602  1 Ge 2.39, 2 Nb 2.61
Zr1 0.0000 0.0000 0.0000  8 Ge 3.03

2.
This record from Alexandria describes a relaxed structure of Ac5P4I. The functional is GGA-PBE.

DFT total energy = -5.8020 eV/atom
space-group type = C2/m (12)
formation energy without anion corrections = -1379 kJ/mol of formula units
M_tot = 0.00 μB per formula unit

a b c (Å): 4.4572 7.8116 10.0759
angles (deg): 75.94 77.22 73.42
With the nearest neighbours (Å) after each atom.
Positions (direct):
Ac1 0.2099 0.9022 0.6780  5 P 3.05-3.16, 1 I 3.38
Ac2 0.7901 0.0978 0.3220  5 P 3.05-3.16, 1 I 3.38
Ac3 0.3865 0.3459 0.8812  4 P 3.02-3.21
Ac4 0.0000 0.5000 0.5000  6 P 3.18-3.22
Ac5 0.6135 0.6541 0.1188  4 P 3.02-3.21
P1 0.5951 0.2031 0.6067  6 Ac 3.05-3.18
P2 0.2079 0.3833 0.2010  6 Ac 3.02-3.22
P3 0.7921 0.6167 0.7990  6 Ac 3.02-3.22
P4 0.4049 0.7969 0.3933  6 Ac 3.05-3.18
I1 0.0000 0.0000 0.0000  6 Ac 3.38-3.45

3.
This record from Alexandria describes a relaxed structure of Ta2InP. The functional is GGA-PBE.

DFT total energy = -7.9139 eV/atom
space-group type = Cmm2 (35)
energy relative to the elements = 49 meV per atom
energy above the most stable polymorph in this dataset = 341.0 meV/atom
M_tot = 0.00 μB per formula unit

a b c (Å): 2.9520 2.9520 9.2509
angles (deg): 90.00 90.00 105.74
With the nearest neighbours (Å) after each atom.
Positions (direct):
In1 0.0000 0.0000 0.4877  4 In 2.95, 2 Ta 3.00
P1 0.5000 0.5000 0.7984  2 Ta 2.50
Ta1 0.0000 0.0000 0.9872  2 P 2.50
Ta2 0.5000 0.5000 0.2267  6 Ta 2.84-2.95, 2 In 3.00

4.
This record from Alexandria describes a relaxed structure of CaCuN2O. The functional is GGA-PBE.

DFT total energy = -3.8469 eV/atom
space-group type = P4/mmm (123)
formation energy without anion corrections = 817 kJ/mol of formula units
M_tot = 0.04 μB per formula unit

a b c (Å): 4.3962 4.3962 4.2719
angles (deg): 90.00 90.00 90.00
With the nearest neighbours (Å) after each atom.
Positions (direct):
Ca1 0.0000 0.0000 0.0000  2 O 2.14, 4 N 2.20
O1 0.0000 0.0000 0.5000  2 Ca 2.14
Cu1 0.5000 0.5000 0.5000  8 N 3.06, 4 O 3.11
N1 0.0000 0.5000 0.0000  2 Ca 2.20
N2 0.5000 0.0000 0.0000  2 Ca 2.20

5.
This record from Alexandria describes a relaxed structure of Tm3Pb7. The functional is GGA-PBE.

DFT total energy = -4.1185 eV/atom
space-group type = P6_3mc (186)
energy relative to the elements = -181 meV per atom
M_tot = 0.00 μB per formula unit

a b c (Å): 6.9236 10.0061 10.0061
angles (deg): 120.00 90.00 90.00
With the nearest neighbours (Å) after each atom.
Positions (direct):
Tm1 0.8788 0.2111 0.4221  7 Pb 3.16-3.22
Tm2 0.8788 0.2111 0.7889  7 Pb 3.16-3.22
Tm3 0.8788 0.5779 0.7889  7 Pb 3.16-3.22
Tm4 0.3788 0.7889 0.5779  7 Pb 3.16-3.22
Tm5 0.3788 0.7889 0.2111  7 Pb 3.16-3.22
Tm6 0.3788 0.4221 0.2111  7 Pb 3.16-3.22
Pb1 0.0289 0.6667 0.3333  3 Tm 3.22, 6 Pb 3.36-3.54
Pb2 0.5289 0.3333 0.6667  3 Tm 3.22, 6 Pb 3.36-3.54
Pb3 0.8872 0.8781 0.7562  2 Tm 3.18, 2 Pb 3.50
Pb4 0.8872 0.8781 0.1219  2 Tm 3.18, 2 Pb 3.50
Pb5 0.8872 0.2438 0.1219  2 Tm 3.18, 2 Pb 3.50
Pb6 0.3872 0.1219 0.2438  2 Tm 3.18, 2 Pb 3.50
Pb7 0.3872 0.1219 0.8781  2 Tm 3.18, 2 Pb 3.50
Pb8 0.3872 0.7562 0.8781  2 Tm 3.18, 2 Pb 3.50
Pb9 0.1938 0.4734 0.9468  4 Tm 3.16-3.20, 4 Pb 3.36-3.54
Pb10 0.1938 0.4734 0.5266  4 Tm 3.16-3.20, 4 Pb 3.36-3.54
Pb11 0.1938 0.0532 0.5266  4 Tm 3.16-3.20, 4 Pb 3.36-3.54
Pb12 0.6938 0.5266 0.0532  4 Tm 3.16-3.20, 4 Pb 3.36-3.54
Pb13 0.6938 0.5266 0.4734  4 Tm 3.16-3.20, 4 Pb 3.36-3.54
Pb14 0.6938 0.9468 0.4734  4 Tm 3.16-3.20, 4 Pb 3.36-3.54

6.
This record from Alexandria describes a relaxed structure of NbNiPt. The functional is GGA-PBE.

DFT total energy = -7.6718 eV/atom
space-group type = P3m1 (156)
energy relative to the elements = -375 meV per atom
energy above the most stable polymorph in this dataset = 46.3 meV/atom
M_tot = 0.00 μB per formula unit

a b c (Å): 2.7254 4.3579 4.3579
angles (deg): 120.00 90.00 90.00
With the nearest neighbours (Å) after each atom.
Positions (direct):
Ni1 0.1727 0.6667 0.3333  3 Pt 2.52, 2 Ni 2.73
Nb1 0.6660 0.3333 0.6667  2 Nb 2.73, 6 Ni 2.85-2.87, 6 Pt 2.86-2.87
Pt1 0.1613 0.0000 0.0000  3 Ni 2.52, 2 Pt 2.73

7.
This record from Alexandria describes a relaxed structure of ZrBeP2O. The functional is GGA-PBE.

DFT total energy = -5.5356 eV/atom
space-group type = P4/mmm (123)
energy above the most stable polymorph in this dataset = 701.5 meV/atom
formation energy without anion corrections = 36 kJ/mol of formula units
M_tot = 0.00 μB per formula unit

a b c (Å): 5.1703 5.1703 3.9525
angles (deg): 90.00 90.00 90.00
With the nearest neighbours (Å) after each atom.
Positions (direct):
P1 0.0000 0.5000 0.0000  2 Zr 2.59
P2 0.5000 0.0000 0.0000  2 Zr 2.59
O1 0.0000 0.0000 0.5000  2 Zr 1.98
Zr1 0.0000 0.0000 0.0000  2 O 1.98
Be1 0.5000 0.5000 0.5000  8 P 3.25

8.
This record from Alexandria describes a relaxed structure of YMg2BiAs. The functional is GGA-PBE.

DFT total energy = -3.1902 eV/atom
space-group type = P4/mmm (123)
energy relative to the elements = 447 meV per atom
M_tot = 0.00 μB per formula unit

a b c (Å): 5.2551 5.9319 5.2551
angles (deg): 90.00 90.00 90.00
With the nearest neighbours (Å) after each atom.
Positions (direct):
Y1 0.5000 0.5000 0.5000  4 As 3.72, 8 Mg 3.96
As1 0.0000 0.5000 0.0000  2 Bi 2.97
Mg1 0.0000 0.0000 0.5000  2 Bi 2.63
Mg2 0.5000 0.0000 0.0000  2 Bi 2.63
Bi1 0.0000 0.0000 0.0000  4 Mg 2.63

- DFT total energy of number 3 (Ta2InP)?
  -7.9139 eV/atom

Copy entry 6 word for word.
This record from Alexandria describes a relaxed structure of NbNiPt. The functional is GGA-PBE.

DFT total energy = -7.6718 eV/atom
space-group type = P3m1 (156)
energy relative to the elements = -375 meV per atom
energy above the most stable polymorph in this dataset = 46.3 meV/atom
M_tot = 0.00 μB per formula unit

a b c (Å): 2.7254 4.3579 4.3579
angles (deg): 120.00 90.00 90.00
With the nearest neighbours (Å) after each atom.
Positions (direct):
Ni1 0.1727 0.6667 0.3333  3 Pt 2.52, 2 Ni 2.73
Nb1 0.6660 0.3333 0.6667  2 Nb 2.73, 6 Ni 2.85-2.87, 6 Pt 2.86-2.87
Pt1 0.1613 0.0000 0.0000  3 Ni 2.52, 2 Pt 2.73

- What is the formula in the eighth record?
  YMg2BiAs